Compound: CrFe4Pt
Source: Alexandria
Functional: PBE-GGA
Structure: relaxed

Structure (extended XYZ):
```
6
Lattice="0.000 3.341 3.341 3.341 0.000 3.341 3.341 3.341 0.000" Properties=species:S:1:pos:R:3 pbc="T T T"
Cr 0.000 0.000 0.000
Fe 2.507 2.507 2.507
Fe 4.176 4.176 2.507
Fe 4.176 2.507 4.176
Fe 2.507 4.176 4.176
Pt 5.012 5.012 5.012
```

Computed properties:
Space-group type: F-43m
Total DFT energy (no corrections), eV per atom: -8.31
Crystal system: cubic